A plane-wave DFT calculation with PBE was carried out for ZrCdW after structural relaxation.

Summary:
Offset from the most stable computed form = 32 kJ/mol of formula units
VASP energy = -42.627 eV/cell
Magnetization = 0.0 μB per formula unit
Calculated volume = 19.63 Å³ per atom
ΔH_f (0 K) = 0.37 eV/atom

abc: 2.9647 4.1921 9.4772
angles: 90.00 90.00 90.00
Last column: nearest neighbours and their distance in Å.
Space group Imm2 (No. 44)
One atom of each set of equivalent atoms:
1 Zr 0.0000 0.0000 0.0000  2 Zr 2.96, 5 W 2.97-3.24, 5 Cd 3.04-3.08
2 Cd 0.0000 0.0000 0.6795  2 Cd 2.96, 5 W 2.99-3.20, 5 Zr 3.04-3.08
3 W 0.0000 0.0000 0.3420  2 W 2.96, 5 Zr 2.97-3.24, 5 Cd 2.99-3.20


A plane-wave DFT calculation with PBE was carried out for TaMn4Si after structural relaxation.

Summary:
Offset from the most stable computed form = 0 kJ/mol of formula units
VASP energy = -109.613 eV/cell
Magnetization = 1.2 μB per formula unit
E_form (uncorrected) = -0.1421 eV per atom
Calculated volume = 12.66 Å³ per atom

abc: 7.7735 3.0056 6.5012
angles: 90.00 90.00 90.00
Last column: nearest neighbours and their distance in Å.
Space group Pmma (No. 51)
One atom of each set of equivalent atoms:
1 Ta 0.2500 0.0000 0.1247  6 Mn 2.57-2.70, 1 Si 2.62
2 Mn 0.0000 0.0000 0.5000  2 Si 2.42, 8 Mn 2.48-2.59
3 Mn 0.0356 0.5000 0.8208  2 Si 2.33, 3 Mn 2.40-2.59
4 Mn 0.2500 0.5000 0.4453  2 Si 2.34, 4 Mn 2.48, 2 Ta 2.57
5 Si 0.2500 0.0000 0.7216  8 Mn 2.33-2.42


A plane-wave DFT calculation with PBE was carried out for Li3TmNp2Te6 after structural relaxation.

Summary:
VASP energy = -132.451 eV/cell
Magnetization = 8.0 μB per formula unit
E_form (uncorrected) = -0.9401 eV per atom
Calculated volume = 28.98 Å³ per atom

abc: 7.5514 13.0799 7.4780
angles: 90.00 109.66 90.00
Last column: nearest neighbours and their distance in Å.
Space group C2/m (No. 12)
One atom of each set of equivalent atoms:
1 Li 0.0000 0.0000 0.0000  6 Te 3.03-3.08
2 Li 0.0000 0.3338 0.0000  6 Te 3.03-3.08
3 Tm 0.0000 0.5000 0.5000  6 Te 3.06-3.07
4 Np 0.0000 0.1668 0.5000  6 Te 3.12
5 Te 0.2424 0.5000 0.2439  3 Li 3.03-3.08, 1 Tm 3.06, 2 Np 3.12
6 Te 0.2495 0.3362 0.7570  3 Li 3.03-3.08, 1 Tm 3.07, 2 Np 3.12


A plane-wave DFT calculation with PBE was carried out for NiHg2Br after structural relaxation.

Summary:
Offset from the most stable computed form = 120 kJ/mol of formula units
VASP energy = -13.249 eV/cell
Magnetization = 0.8 μB per formula unit
E_form (uncorrected) = 0.3583 eV per atom
Calculated volume = 24.22 Å³ per atom

abc: 3.9633 3.9633 12.3342
angles: 90.00 90.00 90.00
Last column: nearest neighbours and their distance in Å.
Space group I4/mmm (No. 139)
One atom of each set of equivalent atoms:
1 Ni 0.0000 0.0000 0.0000  4 Br 2.80
2 Hg 0.0000 0.5000 0.2500  4 Hg 2.80
3 Br 0.0000 0.0000 0.5000  4 Ni 2.80


Q: What is the formula in the third record?
A: Li3TmNp2Te6